# PrSm3Er2Se6

An optimized crystal structure of PrSm3Er2Se6 (GGA-PBE, Alexandria).

Cell lengths 7.158, 12.450, 7.185 Å; angles 90.00, 109.42, 90.00 degrees
Space group C2/m (No. 12)
Symmetry-distinct sites (fractional):
1 Pr 0.000 0.000 0.000 x2
2 Sm 0.000 0.157 0.500 x4
3 Sm 0.000 0.500 0.500 x2
4 Er 0.000 0.334 0.000 x4
5 Se 0.233 0.500 0.239 x4
6 Se 0.245 0.326 0.754 x8

Summary:
- E_form (uncorrected) (eV per formula unit) = -21.4
- crystal system = monoclinic
- raw total energy (eV per atom) = -5.8633
- size of the total moment (μB per formula unit) = 0.0

---

# PrSmEr2Se6

An optimized crystal structure of PrSmEr2Se6 (GGA-PBE, Alexandria).

Cell lengths 7.3118, 7.3118, 19.4585 Å; angles 90.00, 90.00, 120.00 degrees
Space group R3 (No. 146, hexagonal axes)
Symmetry-distinct sites (fractional):
1 Pr 0.0000 0.0000 0.0000 x3
2 Sm 0.0000 0.0000 0.4965 x3
3 Er 0.0000 0.0000 0.2970 x3
4 Er 0.0000 0.0000 0.7990 x3
5 Se 0.0173 0.3124 0.8926 x9
6 Se 0.0211 0.6395 0.0593 x9

Summary:
- E_form (uncorrected) (eV per formula unit) = -18.4
- crystal system = trigonal
- raw total energy (eV per atom) = -5.7945
- size of the total moment (μB per formula unit) = 0.0

---

# PrSm4ErSe8

An optimized crystal structure of PrSm4ErSe8 (GGA-PBE, Alexandria).

Cell lengths 8.5786, 8.5786, 21.0785 Å; angles 90.00, 90.00, 120.00 degrees
Space group R3m (No. 160, hexagonal axes)
Symmetry-distinct sites (fractional):
1 Pr 0.0000 0.0000 0.0000 x3
2 Sm 0.0000 0.0000 0.3758 x3
3 Sm 0.0032 0.5016 0.5018 x9
4 Er 0.0000 0.0000 0.6268 x3
5 Se 0.0000 0.0000 0.2429 x3
6 Se 0.0000 0.0000 0.7561 x3
7 Se 0.0176 0.5088 0.7556 x9
8 Se 0.1705 0.3410 0.5814 x9

Summary:
- E_form (uncorrected) (eV per formula unit) = -24.1
- crystal system = trigonal
- raw total energy (eV per atom) = -5.7295
- size of the total moment (μB per formula unit) = 0.0

---

# Pr2SmEr3Se6

An optimized crystal structure of Pr2SmEr3Se6 (GGA-PBE, Alexandria).

Cell lengths 18.188, 4.075, 8.412 Å; angles 90.00, 105.49, 90.00 degrees
Space group C2/m (No. 12)
Symmetry-distinct sites (fractional):
1 Pr 0.167 0.000 0.334 x4
2 Sm 0.000 0.500 0.000 x2
3 Er 0.000 0.500 0.500 x2
4 Er 0.168 0.000 0.834 x4
5 Se 0.005 0.000 0.743 x4
6 Se 0.162 0.500 0.595 x4
7 Se 0.169 0.500 0.070 x4

Summary:
- E_form (uncorrected) (eV per formula unit) = -21.3
- crystal system = monoclinic
- raw total energy (eV per atom) = -5.8456
- size of the total moment (μB per formula unit) = 0.0

---

# Pr4SmEr3Se8

An optimized crystal structure of Pr4SmEr3Se8 (GGA-PBE, Alexandria).

Cell lengths 8.2319, 8.2319, 20.9842 Å; angles 90.00, 90.00, 120.00 degrees
Space group R-3m (No. 166, hexagonal axes)
Symmetry-distinct sites (fractional):
1 Pr 0.0000 0.0000 0.0000 x3
2 Pr 0.0000 0.5000 0.0000 x9
3 Sm 0.0000 0.0000 0.5000 x3
4 Er 0.0000 0.5000 0.5000 x9
5 Se 0.0000 0.0000 0.2427 x6
6 Se 0.0062 0.5031 0.7560 x18

Summary:
- E_form (uncorrected) (eV per formula unit) = -28.6
- crystal system = trigonal
- raw total energy (eV per atom) = -5.8755
- size of the total moment (μB per formula unit) = 0.0

---

# SrPr2ErSe4

An optimized crystal structure of SrPr2ErSe4 (GGA-PBE, Alexandria).

Cell lengths 7.318, 4.200, 7.422 Å; angles 90.00, 108.83, 90.00 degrees
Space group P2/m (No. 10)
Symmetry-distinct sites (fractional):
1 Sr 0.000 0.000 0.000 x1
2 Pr 0.000 0.500 0.500 x1
3 Pr 0.500 0.000 0.500 x1
4 Er 0.500 0.500 0.000 x1
5 Se 0.260 0.500 0.244 x2
6 Se 0.265 0.000 0.764 x2

Summary:
- E_form (uncorrected) (eV per formula unit) = -14.6
- crystal system = monoclinic
- raw total energy (eV per atom) = -5.5469
- size of the total moment (μB per formula unit) = 0.0

---

# Tb2PrErSe6

An optimized crystal structure of Tb2PrErSe6 (GGA-PBE, Alexandria).

Cell lengths 7.2962, 7.2962, 19.5557 Å; angles 90.00, 90.00, 120.00 degrees
Space group R3 (No. 146, hexagonal axes)
Symmetry-distinct sites (fractional):
1 Tb 0.0000 0.0000 0.0000 x3
2 Tb 0.0000 0.0000 0.4957 x3
3 Pr 0.0000 0.0000 0.1998 x3
4 Er 0.0000 0.0000 0.6934 x3
5 Se 0.0177 0.7127 0.5958 x9
6 Se 0.0258 0.3563 0.7615 x9

Summary:
- E_form (uncorrected) (eV per formula unit) = -18.4
- crystal system = trigonal
- raw total energy (eV per atom) = -5.7951
- size of the total moment (μB per formula unit) = 0.0

---

# Tb3Pr4ErSe8

An optimized crystal structure of Tb3Pr4ErSe8 (GGA-PBE, Alexandria).

Cell lengths 8.2526, 8.2526, 20.9397 Å; angles 90.00, 90.00, 120.00 degrees
Space group R-3m (No. 166, hexagonal axes)
Symmetry-distinct sites (fractional):
1 Tb 0.0000 0.5000 0.0000 x9
2 Pr 0.0000 0.0000 0.5000 x3
3 Pr 0.0000 0.5000 0.5000 x9
4 Er 0.0000 0.0000 0.0000 x3
5 Se 0.0000 0.0000 0.2554 x6
6 Se 0.0028 0.5014 0.7439 x18

Summary:
- E_form (uncorrected) (eV per formula unit) = -28.8
- crystal system = trigonal
- raw total energy (eV per atom) = -5.8921
- size of the total moment (μB per formula unit) = 0.0

---

- Which value of size of the total moment does entry 8 give?
  0.0 μB per formula unit

---

- Which value of raw total energy does entry 4 give?
  -5.8456 eV per atom

---

- Look up the raw total energy of the third one.
  -5.7295 eV per atom